## P
BeReSbI2 | GGA-PBE | relaxed

The structure in CIF format:
```
data_BeReSbI2
_cell_length_a 5.5988
_cell_length_b 5.5988
_cell_length_c 5.1273
_cell_angle_alpha 90.00
_cell_angle_beta 90.00
_cell_angle_gamma 90.00
_space_group_name_H-M_alt 'P 4/m m m'
_space_group_IT_number 123
_space_group_name_Hall '-P 4 2'
loop_
_atom_site_label
_atom_site_type_symbol
_atom_site_fract_x
_atom_site_fract_y
_atom_site_fract_z
_atom_site_occupancy
Be1 Be 0.0000 0.0000 0.0000 1
Re1 Re 0.5000 0.5000 0.5000 1
Sb1 Sb 0.5000 0.5000 0.0000 1
I1 I 0.0000 0.5000 0.5000 1
```



## Q
BeReSbI2 | GGA-PBE | relaxed

The structure in CIF format:
```
data_BeReSbI2
_cell_length_a 4.9103
_cell_length_b 4.9103
_cell_length_c 4.8203
_cell_angle_alpha 90.00
_cell_angle_beta 90.00
_cell_angle_gamma 90.00
_space_group_name_H-M_alt 'P 4/m m m'
_space_group_IT_number 123
_space_group_name_Hall '-P 4 2'
loop_
_atom_site_label
_atom_site_type_symbol
_atom_site_fract_x
_atom_site_fract_y
_atom_site_fract_z
_atom_site_occupancy
Be1 Be 0.0000 0.0000 0.0000 1
Re1 Re 0.5000 0.5000 0.5000 1
Sb1 Sb 0.0000 0.0000 0.5000 1
I1 I 0.0000 0.5000 0.0000 1
```



Stability, lowest: Q



## P
BeReTe2I | GGA-PBE | relaxed

The structure in CIF format:
```
data_BeReTe2I
_cell_length_a 4.8091
_cell_length_b 4.8091
_cell_length_c 4.8767
_cell_angle_alpha 90.00
_cell_angle_beta 90.00
_cell_angle_gamma 90.00
_space_group_name_H-M_alt 'P 4/m m m'
_space_group_IT_number 123
_space_group_name_Hall '-P 4 2'
loop_
_atom_site_label
_atom_site_type_symbol
_atom_site_fract_x
_atom_site_fract_y
_atom_site_fract_z
_atom_site_occupancy
Be1 Be 0.0000 0.0000 0.0000 1
Re1 Re 0.5000 0.5000 0.5000 1
Te1 Te 0.0000 0.5000 0.0000 1
I1 I 0.0000 0.0000 0.5000 1
```



## Q
BeReTe2I | GGA-PBE | relaxed

The structure in CIF format:
```
data_BeReTe2I
_cell_length_a 5.1477
_cell_length_b 5.1477
_cell_length_c 5.8401
_cell_angle_alpha 90.00
_cell_angle_beta 90.00
_cell_angle_gamma 90.00
_space_group_name_H-M_alt 'P 4/m m m'
_space_group_IT_number 123
_space_group_name_Hall '-P 4 2'
loop_
_atom_site_label
_atom_site_type_symbol
_atom_site_fract_x
_atom_site_fract_y
_atom_site_fract_z
_atom_site_occupancy
Be1 Be 0.0000 0.0000 0.0000 1
Re1 Re 0.5000 0.5000 0.5000 1
Te1 Te 0.0000 0.5000 0.5000 1
I1 I 0.5000 0.5000 0.0000 1
```



Stability, lowest: P



## P
BeReTeI2 | GGA-PBE | relaxed

The structure in CIF format:
```
data_BeReTeI2
_cell_length_a 4.8909
_cell_length_b 4.8909
_cell_length_c 4.9198
_cell_angle_alpha 90.00
_cell_angle_beta 90.00
_cell_angle_gamma 90.00
_space_group_name_H-M_alt 'P 4/m m m'
_space_group_IT_number 123
_space_group_name_Hall '-P 4 2'
loop_
_atom_site_label
_atom_site_type_symbol
_atom_site_fract_x
_atom_site_fract_y
_atom_site_fract_z
_atom_site_occupancy
Be1 Be 0.0000 0.0000 0.0000 1
Re1 Re 0.5000 0.5000 0.5000 1
Te1 Te 0.0000 0.0000 0.5000 1
I1 I 0.0000 0.5000 0.0000 1
```



## Q
BeReTeI2 | GGA-PBE | relaxed

The structure in CIF format:
```
data_BeReTeI2
_cell_length_a 5.6381
_cell_length_b 5.6381
_cell_length_c 5.0873
_cell_angle_alpha 90.00
_cell_angle_beta 90.00
_cell_angle_gamma 90.00
_space_group_name_H-M_alt 'P 4/m m m'
_space_group_IT_number 123
_space_group_name_Hall '-P 4 2'
loop_
_atom_site_label
_atom_site_type_symbol
_atom_site_fract_x
_atom_site_fract_y
_atom_site_fract_z
_atom_site_occupancy
Be1 Be 0.0000 0.0000 0.0000 1
Re1 Re 0.5000 0.5000 0.5000 1
Te1 Te 0.5000 0.5000 0.0000 1
I1 I 0.0000 0.5000 0.5000 1
```



Stability, lowest: P



## P
BeRhI | GGA-PBE | relaxed

The structure in CIF format:
```
data_BeRhI
_cell_length_a 4.0515
_cell_length_b 4.0515
_cell_length_c 9.9132
_cell_angle_alpha 90.00
_cell_angle_beta 90.00
_cell_angle_gamma 120.00
_space_group_name_H-M_alt 'P 63/m m c'
_space_group_IT_number 194
_space_group_name_Hall '-P 6c 2c'
loop_
_atom_site_label
_atom_site_type_symbol
_atom_site_fract_x
_atom_site_fract_y
_atom_site_fract_z
_atom_site_occupancy
Be1 Be 0.3333 0.6667 0.2500 1
Rh1 Rh 0.0000 0.0000 0.0000 1
I1 I 0.0000 0.0000 0.2500 1
```



## Q
BeRhI | GGA-PBE | relaxed

The structure in CIF format:
```
data_BeRhI
_cell_length_a 3.6874
_cell_length_b 3.8530
_cell_length_c 9.1272
_cell_angle_alpha 90.00
_cell_angle_beta 90.33
_cell_angle_gamma 90.00
_space_group_name_H-M_alt 'P 1 21/m 1'
_space_group_IT_number 11
loop_
_space_group_symop_operation_xyz
'x,y,z'
'-x,-y,-z'
'-x,y+1/2,-z'
'x,-y+1/2,z'
loop_
_atom_site_label
_atom_site_type_symbol
_atom_site_fract_x
_atom_site_fract_y
_atom_site_fract_z
_atom_site_occupancy
Be1 Be 0.0800 0.2500 0.0472 1
Rh1 Rh 0.4125 0.7500 0.1025 1
I1 I 0.2811 0.2500 0.3069 1
```



Stability, lowest: P



## P
BeRhI | GGA-PBE | relaxed

The structure in CIF format:
```
data_BeRhI
_cell_length_a 4.3906
_cell_length_b 4.3936
_cell_length_c 7.3206
_cell_angle_alpha 82.05
_cell_angle_beta 82.06
_cell_angle_gamma 80.19
_space_group_name_H-M_alt 'P 1'
_space_group_IT_number 1
loop_
_space_group_symop_operation_xyz
'x,y,z'
loop_
_atom_site_label
_atom_site_type_symbol
_atom_site_fract_x
_atom_site_fract_y
_atom_site_fract_z
_atom_site_occupancy
Be1 Be 0.0000 0.0000 0.0000 1
Be2 Be 0.3721 0.6283 0.9989 1
Rh1 Rh 0.4776 0.1282 0.9432 1
Rh2 Rh 0.8719 0.5225 0.0559 1
I1 I 0.0420 0.3699 0.7074 1
I2 I 0.6294 0.9574 0.2919 1
```



## Q
BeRhI | GGA-PBE | relaxed

The structure in CIF format:
```
data_BeRhI
_cell_length_a 3.7374
_cell_length_b 4.0530
_cell_length_c 9.4363
_cell_angle_alpha 94.19
_cell_angle_beta 90.35
_cell_angle_gamma 117.43
_space_group_name_H-M_alt 'P 1'
_space_group_IT_number 1
loop_
_space_group_symop_operation_xyz
'x,y,z'
loop_
_atom_site_label
_atom_site_type_symbol
_atom_site_fract_x
_atom_site_fract_y
_atom_site_fract_z
_atom_site_occupancy
Be1 Be 0.0000 0.0000 0.0000 1
Be2 Be 0.3937 0.7836 0.1382 1
Rh1 Rh 0.0922 0.1781 0.2256 1
Rh2 Rh 0.6985 0.3969 0.0341 1
I1 I 0.1998 0.4072 0.8126 1
I2 I 0.4885 0.9649 0.4119 1
```



Stability, lowest: P



## P
BeRhI | GGA-PBE | relaxed

The structure in CIF format:
```
data_BeRhI
_cell_length_a 3.4394
_cell_length_b 4.2685
_cell_length_c 9.3695
_cell_angle_alpha 98.54
_cell_angle_beta 90.20
_cell_angle_gamma 113.75
_space_group_name_H-M_alt 'P 1'
_space_group_IT_number 1
loop_
_space_group_symop_operation_xyz
'x,y,z'
loop_
_atom_site_label
_atom_site_type_symbol
_atom_site_fract_x
_atom_site_fract_y
_atom_site_fract_z
_atom_site_occupancy
Be1 Be 0.0000 0.0000 0.0000 1
Be2 Be 0.1869 0.3718 0.1787 1
Rh1 Rh 0.4648 0.9266 0.1875 1
Rh2 Rh 0.7071 0.4149 0.9897 1
I1 I 0.0252 0.0429 0.4064 1
I2 I 0.3951 0.7943 0.7994 1
```



## Q
BeRhI | GGA-PBE | relaxed

The structure in CIF format:
```
data_BeRhI
_cell_length_a 7.2812
_cell_length_b 3.8401
_cell_length_c 8.6517
_cell_angle_alpha 90.00
_cell_angle_beta 90.00
_cell_angle_gamma 90.00
_space_group_name_H-M_alt 'P n m a'
_space_group_IT_number 62
loop_
_space_group_symop_operation_xyz
'x,y,z'
'-x,-y,-z'
'-x+1/2,-y,z+1/2'
'x+1/2,y,-z+1/2'
'x+1/2,-y+1/2,-z+1/2'
'-x+1/2,y+1/2,z+1/2'
'-x,y+1/2,-z'
'x,-y+1/2,z'
loop_
_atom_site_label
_atom_site_type_symbol
_atom_site_fract_x
_atom_site_fract_y
_atom_site_fract_z
_atom_site_occupancy
Be1 Be 0.0661 0.2500 0.0277 1
Rh1 Rh 0.2228 0.7500 0.0547 1
I1 I 0.1221 0.7500 0.3420 1
```



## R
BeRhI | GGA-PBE | relaxed

The structure in CIF format:
```
data_BeRhI
_cell_length_a 4.0577
_cell_length_b 4.1112
_cell_length_c 9.1181
_cell_angle_alpha 93.62
_cell_angle_beta 99.37
_cell_angle_gamma 118.55
_space_group_name_H-M_alt 'P -1'
_space_group_IT_number 2
loop_
_space_group_symop_operation_xyz
'x,y,z'
'-x,-y,-z'
loop_
_atom_site_label
_atom_site_type_symbol
_atom_site_fract_x
_atom_site_fract_y
_atom_site_fract_z
_atom_site_occupancy
Be1 Be 0.2437 0.2444 0.4965 1
Rh1 Rh 0.1806 0.7106 0.3889 1
I1 I 0.4423 0.2714 0.2127 1
```



Stability, lowest: Q